Here is RbTl2SnI5 after structural relaxation from Alexandria. Energies are from GGA-PBE.

Cell lengths 9.925, 9.925, 16.473 Å; angles 90.00, 90.00, 147.16 degrees
Sites, in units of the cell vectors:
Rb1 0.235 0.765 0.500
Rb2 0.765 0.235 0.000
Tl1 0.335 0.665 0.759
Tl2 0.390 0.610 0.253
Tl3 0.610 0.390 0.753
Tl4 0.665 0.335 0.259
Sn1 0.033 0.967 0.998
Sn2 0.967 0.033 0.498
I1 0.075 0.925 0.362
I2 0.078 0.922 0.629
I3 0.182 0.818 0.875
I4 0.238 0.762 0.159
I5 0.422 0.578 0.564
I6 0.578 0.422 0.064
I7 0.762 0.238 0.659
I8 0.818 0.182 0.375
I9 0.922 0.078 0.129
I10 0.925 0.075 0.862

Computed properties:
**Final energy**: -24.3 eV/f.u.
**ΔE_f (raw)**: -0.761 eV per atom

=====

Here is Cs4K2I after structural relaxation from Alexandria. Energies are from GGA-PBE.

Cell lengths 13.327, 13.327, 13.327 Å; angles 147.38, 147.38, 46.81 degrees
Sites, in units of the cell vectors:
Cs1 0.000 0.500 0.500
Cs2 0.164 0.164 0.000
Cs3 0.500 0.000 0.500
Cs4 0.836 0.836 0.000
K1 0.357 0.357 0.000
K2 0.643 0.643 0.000
I1 0.000 0.000 0.000

Computed properties:
**Final energy**: -9.7 eV/f.u.
**ΔE_f (raw)**: -0.368 eV per atom

=====

Here is Cs12Ag5Hg3 after structural relaxation from Alexandria. Energies are from GGA-PBE.

Cell lengths 19.495, 19.495, 19.495 Å; angles 109.47, 109.47, 109.47 degrees
Sites, in units of the cell vectors:
Cs1 0.044 0.217 0.127
Cs2 0.044 0.327 0.917
Cs3 0.083 0.627 0.410
Cs4 0.083 0.956 0.673
Cs5 0.090 0.717 0.673
Cs6 0.090 0.873 0.417
Cs7 0.127 0.044 0.217
Cs8 0.127 0.583 0.910
Cs9 0.173 0.217 0.590
Cs10 0.173 0.456 0.583
Cs11 0.217 0.127 0.044
Cs12 0.217 0.590 0.173
Cs13 0.283 0.327 0.910
Cs14 0.283 0.456 0.373
Cs15 0.327 0.910 0.283
Cs16 0.327 0.917 0.044
Cs17 0.373 0.283 0.456
Cs18 0.373 0.590 0.917
Cs19 0.410 0.083 0.627
Cs20 0.410 0.827 0.783
Cs21 0.417 0.090 0.873
Cs22 0.417 0.827 0.544
Cs23 0.456 0.373 0.283
Cs24 0.456 0.583 0.173
Cs25 0.544 0.417 0.827
Cs26 0.544 0.627 0.717
Cs27 0.583 0.173 0.456
Cs28 0.583 0.910 0.127
Cs29 0.590 0.173 0.217
Cs30 0.590 0.917 0.373
Cs31 0.627 0.410 0.083
Cs32 0.627 0.717 0.544
Cs33 0.673 0.083 0.956
Cs34 0.673 0.090 0.717
Cs35 0.717 0.544 0.627
Cs36 0.717 0.673 0.090
Cs37 0.783 0.410 0.827
Cs38 0.783 0.873 0.956
Cs39 0.827 0.544 0.417
Cs40 0.827 0.783 0.410
Cs41 0.873 0.417 0.090
Cs42 0.873 0.956 0.783
Cs43 0.910 0.127 0.583
Cs44 0.910 0.283 0.327
Cs45 0.917 0.044 0.327
Cs46 0.917 0.373 0.590
Cs47 0.956 0.673 0.083
Cs48 0.956 0.783 0.873
Ag1 0.000 0.000 0.000
Ag2 0.000 0.000 0.500
Ag3 0.000 0.500 0.000
Ag4 0.000 0.500 0.500
Ag5 0.125 0.750 0.875
Ag6 0.125 0.875 0.250
Ag7 0.250 0.125 0.875
Ag8 0.250 0.625 0.375
Ag9 0.375 0.250 0.625
Ag10 0.375 0.625 0.750
Ag11 0.500 0.000 0.000
Ag12 0.500 0.000 0.500
Ag13 0.500 0.500 0.000
Ag14 0.500 0.500 0.500
Ag15 0.625 0.375 0.250
Ag16 0.625 0.750 0.375
Ag17 0.750 0.375 0.625
Ag18 0.750 0.875 0.125
Ag19 0.875 0.125 0.750
Ag20 0.875 0.250 0.125
Hg1 0.125 0.250 0.375
Hg2 0.125 0.375 0.750
Hg3 0.250 0.375 0.125
Hg4 0.250 0.875 0.625
Hg5 0.375 0.125 0.250
Hg6 0.375 0.750 0.125
Hg7 0.625 0.250 0.875
Hg8 0.625 0.875 0.750
Hg9 0.750 0.125 0.375
Hg10 0.750 0.625 0.875
Hg11 0.875 0.625 0.250
Hg12 0.875 0.750 0.625

Computed properties:
**E_form**: 1.38 kcal/mol of atoms
**Final energy**: -24.2 eV/f.u.

=====

Here is LiLaTe2 after structural relaxation from Alexandria. Energies are from GGA-PBE.

Cell lengths 12.953, 12.953, 4.843 Å; angles 90.00, 90.00, 160.66 degrees
Sites, in units of the cell vectors:
Li1 0.033 0.967 0.750
Li2 0.967 0.033 0.250
La1 0.330 0.670 0.750
La2 0.670 0.330 0.250
Te1 0.076 0.924 0.250
Te2 0.200 0.800 0.750
Te3 0.800 0.200 0.250
Te4 0.924 0.076 0.750

Computed properties:
**Final energy**: -18.4 eV/f.u.
**ΔE_f (raw)**: -1.317 eV per atom

=====

Here is Mg4InNi after structural relaxation from Alexandria. Energies are from GGA-PBE.

Cell lengths 7.413, 7.413, 5.245 Å; angles 100.93, 100.93, 112.87 degrees
Sites, in units of the cell vectors:
Mg1 0.060 0.720 0.938
Mg2 0.196 0.355 0.646
Mg3 0.280 0.940 0.562
Mg4 0.355 0.196 0.146
Mg5 0.645 0.804 0.854
Mg6 0.720 0.060 0.438
Mg7 0.804 0.645 0.354
Mg8 0.940 0.280 0.062
In1 0.375 0.625 0.250
In2 0.625 0.375 0.750
Ni1 0.002 0.998 0.750
Ni2 0.998 0.002 0.250

Computed properties:
**E_form**: -2.79 kcal/mol of atoms
**Excess energy over the best structure of this formula in the dataset**: 0.009 eV/atom
**Final energy**: -15.6 eV/f.u.

=====

Here is Mg2Os3 after structural relaxation from Alexandria. Energies are from GGA-PBE.

Cell lengths 4.161, 4.161, 5.545 Å; angles 90.00, 90.00, 120.00 degrees
Sites, in units of the cell vectors:
Mg1 0.333 0.667 0.367
Mg2 0.667 0.333 0.633
Os1 0.000 0.000 0.500
Os2 0.333 0.667 0.910
Os3 0.667 0.333 0.090

Computed properties:
**E_form**: 24.42 kcal/mol of atoms
**Excess energy over the best structure of this formula in the dataset**: 0.814 eV/atom
**Final energy**: -31.6 eV/f.u.

=====

Here is LuInCuRh after structural relaxation from Alexandria. Energies are from GGA-PBE.

Cell lengths 4.666, 4.666, 4.666 Å; angles 60.00, 60.00, 60.00 degrees
Sites, in units of the cell vectors:
Lu1 0.000 0.000 0.000
In1 0.500 0.500 0.500
Cu1 0.250 0.250 0.250
Rh1 0.750 0.750 0.750

Computed properties:
**E_form**: -11.70 kcal/mol of atoms
**Final energy**: -20.7 eV/f.u.

=====

Here is RbSeS3 after structural relaxation from Alexandria. Energies are from GGA-PBE.

Cell lengths 5.523, 5.523, 5.523 Å; angles 90.00, 90.00, 90.00 degrees
Sites, in units of the cell vectors:
Rb1 0.000 0.000 0.000
Se1 0.500 0.500 0.500
S1 0.000 0.000 0.500
S2 0.000 0.500 0.000
S3 0.500 0.000 0.000

Computed properties:
**Excess energy over the best structure of this formula in the dataset**: 2.028 eV/atom
**Final energy**: -8.3 eV/f.u.
**ΔE_f (raw)**: 1.708 eV per atom

=====

Here is Zr2TaIr2 after structural relaxation from Alexandria. Energies are from GGA-PBE.

Cell lengths 6.684, 6.684, 4.335 Å; angles 90.00, 90.00, 90.00 degrees
Sites, in units of the cell vectors:
Zr1 0.176 0.324 0.000
Zr2 0.324 0.824 0.000
Zr3 0.676 0.176 0.000
Zr4 0.824 0.676 0.000
Ta1 0.000 0.000 0.500
Ta2 0.500 0.500 0.500
Ir1 0.139 0.639 0.500
Ir2 0.361 0.139 0.500
Ir3 0.639 0.861 0.500
Ir4 0.861 0.361 0.500

Computed properties:
**E_form**: -13.52 kcal/mol of atoms
**Excess energy over the best structure of this formula in the dataset**: 0.000 eV/atom
**Final energy**: -49.6 eV/f.u.

=====

Here is TmAlRh after structural relaxation from Alexandria. Energies are from GGA-PBE.

Cell lengths 4.373, 4.373, 3.505 Å; angles 90.00, 90.00, 120.00 degrees
Sites, in units of the cell vectors:
Tm1 0.000 0.000 0.000
Al1 0.333 0.667 0.500
Rh1 0.667 0.333 0.500

Computed properties:
**E_form**: -17.45 kcal/mol of atoms
**Final energy**: -17.8 eV/f.u.

=====

Here is Tb3NiBi after structural relaxation from Alexandria. Energies are from GGA-PBE.

Cell lengths 5.233, 5.233, 5.233 Å; angles 90.00, 90.00, 90.00 degrees
Sites, in units of the cell vectors:
Tb1 0.000 0.000 0.500
Tb2 0.000 0.500 0.000
Tb3 0.500 0.000 0.000
Ni1 0.000 0.000 0.000
Bi1 0.500 0.500 0.500

Computed properties:
**E_form**: -9.04 kcal/mol of atoms
**Excess energy over the best structure of this formula in the dataset**: 0.040 eV/atom
**Final energy**: -25.5 eV/f.u.

=====

Here is GaS3I after structural relaxation from Alexandria. Energies are from GGA-PBE.

Cell lengths 3.947, 5.814, 7.839 Å; angles 77.37, 85.72, 74.62 degrees
Sites, in units of the cell vectors:
Ga1 0.000 0.000 0.000
S1 0.221 0.377 0.234
S2 0.325 0.707 0.213
S3 0.412 0.261 0.000
I1 0.945 0.926 0.698

Computed properties:
**Excess energy over the best structure of this formula in the dataset**: 0.000 eV/atom
**Final energy**: -18.1 eV/f.u.
**ΔE_f (raw)**: -0.228 eV per atom

=====

final energy of number 9 (Zr2TaIr2)?
-49.6 eV/f.u.

=====

Which of these has the lowest final energy?
Zr2TaIr2

=====

What is the formula in the tenth record?
TmAlRh